Material: SbPbAu4
Method: DFT, GGA-PBEsol
State: optimized geometry

a b c (Å): 7.8965 7.8965 7.8965
angles (deg): 90.00 90.00 90.00
Last column: nearest neighbours and their distance in Å.
Space group F-43m (No. 216)
Inequivalent atoms, fractional coordinates:
Sb1 0.0000 0.0000 0.0000 x4  12 Au 3.27, 4 Pb 3.42
Pb1 0.2500 0.2500 0.7500 x4  12 Au 3.27, 4 Sb 3.42
Au1 0.1251 0.1251 0.3749 x16  6 Au 2.79

## Properties
density of states at the Fermi level: 2.02 states/eV/f.u.
total magnetization: 0.00 Bohr magnetons per cell
crystal system: cubic
energy relative to the elements, uncorrected: -0.02 eV/atom
uncorrected energy: -97.4 eV/cell

Material: SbPb2Au2
Method: DFT, GGA-PBEsol
State: optimized geometry

a b c (Å): 4.4993 4.4993 12.5025
angles (deg): 90.00 90.00 90.00
Last column: nearest neighbours and their distance in Å.
Space group I4/mmm (No. 139)
Inequivalent atoms, fractional coordinates:
Sb1 0.0000 0.0000 0.0000 x2  8 Au 3.43
Pb1 0.0000 0.5000 0.2500 x4  4 Au 2.90, 4 Pb 3.18
Au1 0.0000 0.0000 0.3967 x4  1 Au 2.58

## Properties
density of states at the Fermi level: 1.91 states/eV/f.u.
total magnetization: 0.00 Bohr magnetons per cell
ΔE to the lowest computed polymorph: 226 meV per atom
crystal system: tetragonal
energy relative to the elements, uncorrected: 0.19 eV/atom
uncorrected energy: -38.9 eV/cell

Material: SbTe2PbAu
Method: DFT, GGA-PBEsol
State: optimized geometry

a b c (Å): 5.4411 5.4411 5.2216
angles (deg): 90.00 90.00 90.00
Last column: nearest neighbours and their distance in Å.
Space group P4/mmm (No. 123)
Inequivalent atoms, fractional coordinates:
Sb1 0.0000 0.0000 0.0000 x1  2 Au 2.61
Te1 0.0000 0.5000 0.5000 x2  2 Au 2.72
Pb1 0.5000 0.5000 0.0000 x1  8 Te 3.77, 4 Sb 3.85
Au1 0.0000 0.0000 0.5000 x1  2 Sb 2.61, 4 Te 2.72

## Properties
density of states at the Fermi level: 4.15 states/eV/f.u.
total magnetization: 0.00 Bohr magnetons per cell
crystal system: tetragonal
energy relative to the elements, uncorrected: 0.32 eV/atom
uncorrected energy: -17.9 eV/cell

Material: Ti2SbPbAu
Method: DFT, GGA-PBEsol
State: optimized geometry

a b c (Å): 4.9989 4.9989 5.6596
angles (deg): 90.00 90.00 90.00
Last column: nearest neighbours and their distance in Å.
Space group P4/mmm (No. 123)
Inequivalent atoms, fractional coordinates:
Ti1 0.0000 0.5000 0.0000 x2  2 Sb 2.50
Sb1 0.0000 0.0000 0.0000 x1  4 Ti 2.50
Pb1 0.0000 0.0000 0.5000 x1  2 Sb 2.83
Au1 0.5000 0.5000 0.5000 x1  4 Pb 3.53, 8 Ti 3.78

## Properties
density of states at the Fermi level: 6.50 states/eV/f.u.
total magnetization: 2.34 Bohr magnetons per cell
crystal system: tetragonal
energy relative to the elements, uncorrected: 1.00 eV/atom
uncorrected energy: -24.1 eV/cell

Material: ScPb3Au
Method: DFT, GGA-PBEsol
State: optimized geometry

a b c (Å): 5.4738 5.4738 5.4738
angles (deg): 90.00 90.00 90.00
Last column: nearest neighbours and their distance in Å.
Space group Pm-3m (No. 221)
Inequivalent atoms, fractional coordinates:
Sc1 0.0000 0.0000 0.0000 x1  6 Pb 2.74
Pb1 0.0000 0.0000 0.5000 x3  2 Sc 2.74
Au1 0.5000 0.5000 0.5000 x1  12 Pb 3.87

## Properties
density of states at the Fermi level: 5.61 states/eV/f.u.
total magnetization: 0.00 Bohr magnetons per cell
energy relative to the elements: 0.624 eV per atom
crystal system: cubic
uncorrected energy: -19.4 eV/cell

Material: ScPb2Au
Method: DFT, GGA-PBEsol
State: optimized geometry

a b c (Å): 3.4366 3.4366 8.0930
angles (deg): 90.00 90.00 90.00
Last column: nearest neighbours and their distance in Å.
Space group P4mm (No. 99)
Inequivalent atoms, fractional coordinates:
Sc1 0.0000 0.0000 0.0000 x1  4 Au 2.80
Pb1 0.0000 0.0000 0.5797 x1  4 Au 3.16, 1 Sc 3.40, 4 Pb 3.44
Pb2 0.5000 0.5000 0.2620 x1  4 Sc 3.23, 8 Pb 3.44-3.54, 1 Au 3.51
Au1 0.5000 0.5000 0.8285 x1  4 Sc 2.80

## Properties
density of states at the Fermi level: 2.56 states/eV/f.u.
total magnetization: 0.00 Bohr magnetons per cell
energy relative to the elements: -0.340 eV per atom
crystal system: tetragonal
uncorrected energy: -19.9 eV/cell

Material: Sc2PbAu
Method: DFT, GGA-PBEsol
State: optimized geometry

a b c (Å): 3.5236 3.5236 28.5376
angles (deg): 90.00 90.00 120.00
Last column: nearest neighbours and their distance in Å.
Space group R-3m (No. 166, hexagonal axes)
Inequivalent atoms, fractional coordinates:
Sc1 0.0000 0.0000 0.1033 x6  3 Au 2.72, 1 Pb 2.95
Pb1 0.0000 0.0000 0.0000 x3  2 Sc 2.95
Au1 0.0000 0.0000 0.5000 x3  6 Sc 2.72

## Properties
density of states at the Fermi level: 3.16 states/eV/f.u.
total magnetization: 0.00 Bohr magnetons per cell
energy relative to the elements: -0.173 eV per atom
crystal system: trigonal
uncorrected energy: -65.5 eV/cell

Material: Sc2PbAu
Method: DFT, GGA-PBEsol
State: optimized geometry

a b c (Å): 4.3004 3.7967 10.7314
angles (deg): 90.00 90.00 90.00
Last column: nearest neighbours and their distance in Å.
Space group Amm2 (No. 38)
Inequivalent atoms, fractional coordinates:
Sc1 0.0000 0.0000 0.0000 x2  4 Au 2.90, 3 Pb 2.93-3.09
Sc2 0.5000 0.0000 0.2877 x2  1 Au 2.74, 4 Pb 2.94
Pb1 0.0000 0.0000 0.7266 x2  2 Au 2.92, 7 Sc 2.93-3.09
Au1 0.5000 0.0000 0.5425 x2  5 Sc 2.74-2.90, 2 Pb 2.92

## Properties
density of states at the Fermi level: 2.39 states/eV/f.u.
total magnetization: 0.00 Bohr magnetons per cell
energy relative to the elements: -0.574 eV per atom
crystal system: orthorhombic
uncorrected energy: -46.9 eV/cell

Material: Sc2PbAu
Method: DFT, GGA-PBEsol
State: optimized geometry

a b c (Å): 3.4329 3.4329 7.1752
angles (deg): 90.00 90.00 90.00
Last column: nearest neighbours and their distance in Å.
Space group P4/mmm (No. 123)
Inequivalent atoms, fractional coordinates:
Sc1 0.0000 0.0000 0.2243 x2  4 Au 2.91, 4 Pb 3.13, 1 Sc 3.22
Pb1 0.5000 0.5000 0.5000 x1  8 Sc 3.13, 4 Pb 3.43
Au1 0.5000 0.5000 0.0000 x1  8 Sc 2.91

## Properties
density of states at the Fermi level: 3.66 states/eV/f.u.
total magnetization: 0.00 Bohr magnetons per cell
energy relative to the elements: -0.591 eV per atom
crystal system: tetragonal
uncorrected energy: -23.5 eV/cell

Material: PbAu2Se2
Method: DFT, GGA-PBEsol
State: optimized geometry

a b c (Å): 4.3168 4.3168 11.9045
angles (deg): 90.00 90.00 90.00
Last column: nearest neighbours and their distance in Å.
Space group I4/mmm (No. 139)
Inequivalent atoms, fractional coordinates:
Pb1 0.0000 0.0000 0.0000 x2  8 Au 3.32, 8 Se 3.68
Au1 0.0000 0.0000 0.3900 x4  1 Au 2.62, 4 Se 2.73
Se1 0.0000 0.5000 0.2500 x4  4 Au 2.73, 4 Se 3.05

## Properties
density of states at the Fermi level: 1.84 states/eV/f.u.
total magnetization: 0.00 Bohr magnetons per cell
ΔE to the lowest computed polymorph: 127 meV per atom
crystal system: tetragonal
energy relative to the elements, uncorrected: 0.10 eV/atom
uncorrected energy: -38.1 eV/cell

Material: PbAuSe3
Method: DFT, GGA-PBEsol
State: optimized geometry

a b c (Å): 5.0363 5.0363 5.0363
angles (deg): 90.00 90.00 90.00
Last column: nearest neighbours and their distance in Å.
Space group Pm-3m (No. 221)
Inequivalent atoms, fractional coordinates:
Pb1 0.0000 0.0000 0.0000 x1  12 Se 3.56
Au1 0.5000 0.5000 0.5000 x1  6 Se 2.52
Se1 0.0000 0.5000 0.5000 x3  2 Au 2.52

## Properties
density of states at the Fermi level: 3.75 states/eV/f.u.
total magnetization: 0.00 Bohr magnetons per cell
crystal system: cubic
energy relative to the elements, uncorrected: 0.18 eV/atom
uncorrected energy: -18.6 eV/cell

Material: Pb2AuSe
Method: DFT, GGA-PBEsol
State: optimized geometry

a b c (Å): 4.2069 4.2069 5.8965
angles (deg): 90.00 90.00 90.00
Last column: nearest neighbours and their distance in Å.
Space group P4/mmm (No. 123)
Inequivalent atoms, fractional coordinates:
Pb1 0.0000 0.0000 0.0000 x1  2 Au 2.95, 4 Se 2.97
Pb2 0.5000 0.5000 0.5000 x1  2 Se 2.95, 4 Au 2.97
Au1 0.0000 0.0000 0.5000 x1  6 Pb 2.95-2.97
Se1 0.5000 0.5000 0.0000 x1  6 Pb 2.95-2.97

## Properties
density of states at the Fermi level: 0.95 states/eV/f.u.
total magnetization: 0.00 Bohr magnetons per cell
crystal system: tetragonal
energy relative to the elements, uncorrected: -0.24 eV/atom
uncorrected energy: -16.7 eV/cell

Material: PbAu2Se2
Method: DFT, GGA-PBEsol
State: optimized geometry

a b c (Å): 3.8895 3.8895 14.5250
angles (deg): 90.00 90.00 90.00
Last column: nearest neighbours and their distance in Å.
Space group I4/mmm (No. 139)
Inequivalent atoms, fractional coordinates:
Pb1 0.0000 0.0000 0.0000 x2  8 Se 3.19
Au1 0.0000 0.5000 0.2500 x4  4 Au 2.75, 4 Se 2.80
Se1 0.0000 0.0000 0.3891 x4  4 Au 2.80

## Properties
density of states at the Fermi level: 1.43 states/eV/f.u.
total magnetization: 0.00 Bohr magnetons per cell
ΔE to the lowest computed polymorph: 0 meV per atom
crystal system: tetragonal
energy relative to the elements, uncorrected: -0.03 eV/atom
uncorrected energy: -39.4 eV/cell

Material: SiPbAu2
Method: DFT, GGA-PBEsol
State: optimized geometry

a b c (Å): 4.2556 4.2556 8.6026
angles (deg): 90.00 90.00 90.00
Last column: nearest neighbours and their distance in Å.
Space group I-4m2 (No. 119)
Inequivalent atoms, fractional coordinates:
Si1 0.0000 0.0000 0.0000 x2  8 Au 3.01-3.03, 4 Pb 3.03
Pb1 0.0000 0.5000 0.7500 x2  8 Au 3.01-3.03, 4 Si 3.03
Au1 0.0000 0.0000 0.5000 x2  4 Si 3.01, 4 Pb 3.03, 4 Au 3.03
Au2 0.0000 0.5000 0.2500 x2  4 Pb 3.01, 4 Si 3.03, 4 Au 3.03

## Properties
density of states at the Fermi level: 1.97 states/eV/f.u.
total magnetization: 0.00 Bohr magnetons per cell
ΔE to the lowest computed polymorph: 30 meV per atom
crystal system: tetragonal
energy relative to the elements, uncorrected: 0.28 eV/atom
uncorrected energy: -32.9 eV/cell

Material: SiPbAu4
Method: DFT, GGA-PBEsol
State: optimized geometry

a b c (Å): 7.7787 7.7787 7.7787
angles (deg): 90.00 90.00 90.00
Last column: nearest neighbours and their distance in Å.
Space group F-43m (No. 216)
Inequivalent atoms, fractional coordinates:
Si1 0.0000 0.0000 0.0000 x4  12 Au 3.22, 4 Pb 3.37
Pb1 0.2500 0.2500 0.7500 x4  12 Au 3.23, 4 Si 3.37
Au1 0.1253 0.1253 0.3747 x16  6 Au 2.74-2.76

## Properties
density of states at the Fermi level: 1.43 states/eV/f.u.
total magnetization: 0.00 Bohr magnetons per cell
crystal system: cubic
energy relative to the elements, uncorrected: 0.20 eV/atom
uncorrected energy: -97.1 eV/cell